A relaxed structure of SrTl2N, computed with PBE.

Cell: 8.690 8.690 5.360 Å, 90.00 90.00 90.00°
Space group I-42d (No. 122)
Symmetry-distinct sites (fractional):
Sr: 0.000 0.000 0.000 x4
Tl: 0.157 0.750 0.625 x8
N: 0.000 0.000 0.500 x4

Output
uncorrected energy: -3.4873 eV per atom
energy relative to the elements, uncorrected: 0.198 eV per atom
excess energy over the best structure of this formula in the dataset: 0.00 eV/f.u.
spin magnetization: 0.00 Bohr magnetons per cell

A relaxed structure of Co3ReHg, computed with PBE.

Cell: 4.458 4.458 4.458 Å, 90.00 90.00 90.00°
Space group Pm-3m (No. 221)
Symmetry-distinct sites (fractional):
Co: 0.000 0.000 0.500 x3
Re: 0.000 0.000 0.000 x1
Hg: 0.500 0.500 0.500 x1

Output
formation energy: 1.39 eV/atom
uncorrected energy: -5.4218 eV per atom
excess energy over the best structure of this formula in the dataset: 0.00 eV/f.u.
spin magnetization: 0.00 Bohr magnetons per cell

A relaxed structure of LiSmO2, computed with PBE.

Cell: 3.4699 3.4699 17.1583 Å, 90.00 90.00 120.00°
Space group R3m (No. 160, hexagonal axes)
Symmetry-distinct sites (fractional):
Li: 0.0000 0.0000 0.0000 x3
Sm: 0.0000 0.0000 0.1900 x3
O: 0.0000 0.0000 0.6039 x3
O: 0.0000 0.0000 0.7927 x3

Output
uncorrected energy: -6.7370 eV per atom
energy relative to the elements, uncorrected: -2.600 eV per atom
spin magnetization: 0.00 Bohr magnetons per cell

A relaxed structure of MgCoIr2, computed with PBE.

Cell: 3.790 3.790 7.683 Å, 90.00 90.00 90.00°
Space group I-4m2 (No. 119)
Symmetry-distinct sites (fractional):
Mg: 0.000 0.000 0.000 x2
Co: 0.000 0.500 0.750 x2
Ir: 0.000 0.000 0.500 x2
Ir: 0.000 0.500 0.250 x2

Output
formation energy: -0.06 eV/atom
uncorrected energy: -6.6682 eV per atom
spin magnetization: 0.41 Bohr magnetons per cell

A relaxed structure of KCaMg, computed with PBE.

Cell: 8.357 8.357 8.357 Å, 90.00 90.00 90.00°
Space group F-43m (No. 216)
Symmetry-distinct sites (fractional):
K: 0.000 0.000 0.000 x4
Ca: 0.000 0.000 0.500 x4
Mg: 0.250 0.250 0.750 x4

Output
formation energy: 0.32 eV/atom
uncorrected energy: -1.2450 eV per atom
spin magnetization: 0.00 Bohr magnetons per cell

A relaxed structure of AsRu2W, computed with PBE.

Cell: 4.147 4.147 3.476 Å, 90.00 90.00 90.00°
Space group P4/mmm (No. 123)
Symmetry-distinct sites (fractional):
As: 0.000 0.000 0.000 x1
Ru: 0.000 0.500 0.500 x2
W: 0.500 0.500 0.000 x1

Output
formation energy: 0.31 eV/atom
uncorrected energy: -8.7296 eV per atom
spin magnetization: 0.00 Bohr magnetons per cell

A relaxed structure of LiPm2PtO5, computed with PBE.

Cell: 6.751 6.751 5.823 Å, 90.00 90.00 90.00°
Space group P4/mbm (No. 127)
Symmetry-distinct sites (fractional):
Li: 0.000 0.000 0.000 x2
Pm: 0.176 0.324 0.500 x4
Pt: 0.000 0.500 0.000 x2
O: 0.000 0.000 0.500 x2
O: 0.137 0.637 0.254 x8

Output
uncorrected energy: -6.8683 eV per atom
energy relative to the elements, uncorrected: -2.174 eV per atom
spin magnetization: 2.00 Bohr magnetons per cell

A relaxed structure of CsMn2Ag, computed with PBE.

Cell: 7.466 7.466 7.466 Å, 90.00 90.00 90.00°
Space group Fm-3m (No. 225)
Symmetry-distinct sites (fractional):
Cs: 0.000 0.000 0.000 x4
Mn: 0.250 0.250 0.250 x8
Ag: 0.000 0.000 0.500 x4

Output
formation energy: 1.21 eV/atom
uncorrected energy: -4.3054 eV per atom
spin magnetization: 35.94 Bohr magnetons per cell